Th2TaFe | PBE | optimized geometry

Lattice parameters (Å, degrees): 3.2457 3.2457 10.4432 81.06 81.06 60.00
With the nearest neighbours (Å) after each atom.
Sites, in units of the cell vectors:
Th 0.0955 0.0955 0.7135  3 Fe 2.88, 1 Ta 2.94
Th 0.9045 0.9045 0.2865  3 Fe 2.88, 1 Ta 2.94
Fe 0.5000 0.5000 0.5000  6 Th 2.88
Ta 0.0000 0.0000 0.0000  2 Th 2.94, 6 Ta 3.25

Output
Its crystal system is trigonal. As for the space group: R-3m. The value obtained for the energy is -32.0 eV for the cell shown. The value obtained for the mass density is 12.417 Mg/m³.


SnAs | PBE | optimized geometry

Lattice parameters (Å, degrees): 4.8331 4.0232 5.5466 90.00 90.00 90.00
With the nearest neighbours (Å) after each atom.
Sites, in units of the cell vectors:
Sn 0.2500 0.2500 0.3303  4 As 2.83-2.94
Sn 0.7500 0.7500 0.6696  4 As 2.83-2.94
As 0.7500 0.2500 0.0295  4 Sn 2.83-2.94, 4 As 3.16
As 0.2500 0.7500 0.9705  4 Sn 2.83-2.94, 4 As 3.16

Output
Its crystal system is orthorhombic. As for the space group: Pmmn. The value obtained for the energy is -16.8 eV for the cell shown. The value obtained for the mass density is 5.963 Mg/m³.


SrS2BrCl | PBE | optimized geometry

Lattice parameters (Å, degrees): 4.7980 4.7980 6.0627 90.00 90.00 90.00
With the nearest neighbours (Å) after each atom.
Sites, in units of the cell vectors:
S 0.5000 0.0000 0.0000  2 Br 2.40
S 0.0000 0.5000 0.0000  2 Br 2.40
Sr 0.5000 0.5000 0.5000  4 Cl 3.39
Br 0.0000 0.0000 0.0000  4 S 2.40
Cl 0.0000 0.0000 0.5000  2 Br 3.03, 4 Sr 3.39

Output
The polymorph energy (0 for the lowest one) comes out at 0.000 eV/atom. The uncorrected formation energy comes out at -0.431 eV per atom. Its crystal system is tetragonal. As for the space group: P4/mmm. The value obtained for the energy is -15.6 eV for the cell shown. The value obtained for the mass density is 3.178 Mg/m³.